1 | Compound: YTeP2Cl
Source: Alexandria
Functional: PBE
Structure: optimized geometry

It has space group P4/mmm (No. 123), with a = 5.128 Å, b = 5.128 Å, c = 4.978 Å, α = 90.00°, β = 90.00° and γ = 90.00°. The asymmetric unit holds Y at (0.000, 0.000, 0.000), Te at (0.500, 0.500, 0.500), P at (0.000, 0.500, 0.500) and Cl at (0.500, 0.500, 0.000).



2 | Compound: YTeP2Cl
Source: Alexandria
Functional: PBE
Structure: optimized geometry

It has space group P4/mmm (No. 123), with a = 5.455 Å, b = 5.455 Å, c = 4.993 Å, α = 90.00°, β = 90.00° and γ = 90.00°. The asymmetric unit holds Y at (0.000, 0.000, 0.000), Te at (0.500, 0.500, 0.500), P at (0.000, 0.500, 0.000) and Cl at (0.000, 0.000, 0.500).



So which one is most stable? That would be 2, about 163 meV/atom below the next structure.